# 1
Here is a relaxed structure of Ho2HgPd from Alexandria via LeMat-Bulk. Energies are from PBE.

Structure (CIF):
```
data_Ho2HgPd
_chemical_formula_sum 'Ho8 Hg4 Pd4'
_symmetry_space_group_name_H-M 'F m -3 m'
_symmetry_Int_Tables_number 225
_symmetry_space_group_name_Hall '-F 4 2 3'
_cell_length_a 7.2000
_cell_length_b 7.2000
_cell_length_c 7.2000
_cell_angle_alpha 90.00
_cell_angle_beta 90.00
_cell_angle_gamma 90.00
loop_
_atom_site_label
_atom_site_fract_x
_atom_site_fract_y
_atom_site_fract_z
Ho1 0.2500 0.2500 0.2500
Hg1 0.0000 0.0000 0.0000
Pd1 0.0000 0.0000 0.5000
```

## Properties
Relative energy among the computed polymorphs, meV/atom: 38


# 2
Here is a relaxed structure of Ho11Hg9Pd4 from Alexandria via LeMat-Bulk. Energies are from PBE.

Structure (CIF):
```
data_Ho11Hg9Pd4
_chemical_formula_sum 'Ho22 Hg18 Pd8'
_symmetry_space_group_name_H-M 'C m m m'
_symmetry_Int_Tables_number 65
_symmetry_space_group_name_Hall '-C 2 2'
_cell_length_a 14.4413
_cell_length_b 21.7801
_cell_length_c 3.6366
_cell_angle_alpha 90.00
_cell_angle_beta 90.00
_cell_angle_gamma 90.00
loop_
_atom_site_label
_atom_site_fract_x
_atom_site_fract_y
_atom_site_fract_z
Ho1 0.0000 0.0000 0.0000
Ho2 0.0000 0.1664 0.0000
Ho3 0.0000 0.3696 0.0000
Ho4 0.2016 0.5000 0.0000
Ho5 0.2437 0.1699 0.0000
Hg1 0.0000 0.5000 0.5000
Hg2 0.1086 0.2610 0.5000
Hg3 0.1389 0.0748 0.5000
Pd1 0.1501 0.4009 0.5000
```


# 3
Here is a relaxed structure of HoHg5Pd6 from Alexandria via LeMat-Bulk. Energies are from PBE.

Structure (CIF):
```
data_HoHg5Pd6
_chemical_formula_sum 'Ho2 Hg10 Pd12'
_symmetry_space_group_name_H-M 'I m m m'
_symmetry_Int_Tables_number 71
_symmetry_space_group_name_Hall '-I 2 2'
_cell_length_a 4.3539
_cell_length_b 7.7290
_cell_length_c 13.1307
_cell_angle_alpha 90.00
_cell_angle_beta 90.00
_cell_angle_gamma 90.00
loop_
_atom_site_label
_atom_site_fract_x
_atom_site_fract_y
_atom_site_fract_z
Ho1 0.0000 0.0000 0.0000
Hg1 0.0000 0.0000 0.3339
Hg2 0.0000 0.5000 0.0000
Hg3 0.0000 0.5000 0.3338
Pd1 0.0000 0.2478 0.1674
Pd2 0.0000 0.2500 0.5000
```


# 4
Here is a relaxed structure of HoHgPd from Alexandria via LeMat-Bulk. Energies are from PBE.

Structure (CIF):
```
data_HoHgPd
_chemical_formula_sum 'Ho2 Hg2 Pd2'
_symmetry_space_group_name_H-M 'P 63/m m c'
_symmetry_Int_Tables_number 194
_symmetry_space_group_name_Hall '-P 6c 2c'
_cell_length_a 4.9968
_cell_length_b 4.9968
_cell_length_c 5.9660
_cell_angle_alpha 90.00
_cell_angle_beta 90.00
_cell_angle_gamma 120.00
loop_
_atom_site_label
_atom_site_fract_x
_atom_site_fract_y
_atom_site_fract_z
Ho1 0.3333 0.6667 0.2500
Hg1 0.0000 0.0000 0.0000
Pd1 0.3333 0.6667 0.7500
```


# 5
Here is a relaxed structure of Ho2HgPd from Alexandria via LeMat-Bulk. Energies are from PBE.

Structure (CIF):
```
data_Ho2HgPd
_chemical_formula_sum 'Ho2 Hg1 Pd1'
_symmetry_space_group_name_H-M 'P 4/m m m'
_symmetry_Int_Tables_number 123
_symmetry_space_group_name_Hall '-P 4 2'
_cell_length_a 3.5676
_cell_length_b 3.5676
_cell_length_c 7.3332
_cell_angle_alpha 90.00
_cell_angle_beta 90.00
_cell_angle_gamma 90.00
loop_
_atom_site_label
_atom_site_fract_x
_atom_site_fract_y
_atom_site_fract_z
Ho1 0.0000 0.0000 0.2292
Hg1 0.5000 0.5000 0.5000
Pd1 0.5000 0.5000 0.0000
```

## Properties
Relative energy among the computed polymorphs, meV/atom: 0


# 6
Here is a relaxed structure of Ho2Hg3Pd8 from Alexandria via LeMat-Bulk. Energies are from PBE.

Structure (CIF):
```
data_Ho2Hg3Pd8
_chemical_formula_sum 'Ho6 Hg9 Pd24'
_symmetry_space_group_name_H-M 'R -3 m'
_symmetry_Int_Tables_number 166
_symmetry_space_group_name_Hall '-R 3 2"'
_cell_length_a 5.3539
_cell_length_b 5.3539
_cell_length_c 30.9043
_cell_angle_alpha 90.00
_cell_angle_beta 90.00
_cell_angle_gamma 120.00
loop_
_atom_site_label
_atom_site_fract_x
_atom_site_fract_y
_atom_site_fract_z
Ho1 0.0000 0.0000 0.1339
Hg1 0.0000 0.0000 0.3139
Hg2 0.0000 0.0000 0.5000
Pd1 0.0000 0.0000 0.2235
Pd2 0.0031 0.5016 0.2719
```


# 7
Here is a relaxed structure of Ho7Hg2Pd2 from Alexandria via LeMat-Bulk. Energies are from PBE.

Structure (CIF):
```
data_Ho7Hg2Pd2
_chemical_formula_sum 'Ho14 Hg4 Pd4'
_symmetry_space_group_name_H-M 'C m m m'
_symmetry_Int_Tables_number 65
_symmetry_space_group_name_Hall '-C 2 2'
_cell_length_a 7.9763
_cell_length_b 10.9575
_cell_length_c 7.1213
_cell_angle_alpha 90.00
_cell_angle_beta 90.00
_cell_angle_gamma 90.00
loop_
_atom_site_label
_atom_site_fract_x
_atom_site_fract_y
_atom_site_fract_z
Ho1 0.0000 0.0000 0.0000
Ho2 0.0000 0.5000 0.2504
Ho3 0.2500 0.2500 0.2576
Hg1 0.1829 0.0000 0.5000
Pd1 0.0000 0.2906 0.0000
```


# 8
Here is a relaxed structure of HoHgPd from Alexandria via LeMat-Bulk. Energies are from PBE.

Structure (CIF):
```
data_HoHgPd
_chemical_formula_sum 'Ho2 Hg2 Pd2'
_symmetry_space_group_name_H-M 'I 4 m m'
_symmetry_Int_Tables_number 107
_symmetry_space_group_name_Hall 'I 4 -2'
_cell_length_a 3.7035
_cell_length_b 3.7035
_cell_length_c 9.2591
_cell_angle_alpha 90.00
_cell_angle_beta 90.00
_cell_angle_gamma 90.00
loop_
_atom_site_label
_atom_site_fract_x
_atom_site_fract_y
_atom_site_fract_z
Ho1 0.0000 0.0000 0.0000
Hg1 0.0000 0.0000 0.6767
Pd1 0.0000 0.0000 0.3458
```


# 9
Here is a relaxed structure of HoHgPd from Alexandria via LeMat-Bulk. Energies are from PBE.

Structure (CIF):
```
data_HoHgPd
_chemical_formula_sum 'Ho1 Hg1 Pd1'
_symmetry_space_group_name_H-M 'P -6 m 2'
_symmetry_Int_Tables_number 187
_symmetry_space_group_name_Hall 'P -6 2'
_cell_length_a 4.7170
_cell_length_b 4.7170
_cell_length_c 3.4242
_cell_angle_alpha 90.00
_cell_angle_beta 90.00
_cell_angle_gamma 120.00
loop_
_atom_site_label
_atom_site_fract_x
_atom_site_fract_y
_atom_site_fract_z
Ho1 0.0000 0.0000 0.0000
Hg1 0.3333 0.6667 0.5000
Pd1 0.6667 0.3333 0.5000
```


# 10
Here is a relaxed structure of HoHg2Pd from Alexandria via LeMat-Bulk. Energies are from PBE.

Structure (CIF):
```
data_HoHg2Pd
_chemical_formula_sum 'Ho4 Hg8 Pd4'
_symmetry_space_group_name_H-M 'F m -3 m'
_symmetry_Int_Tables_number 225
_symmetry_space_group_name_Hall '-F 4 2 3'
_cell_length_a 6.9648
_cell_length_b 6.9648
_cell_length_c 6.9648
_cell_angle_alpha 90.00
_cell_angle_beta 90.00
_cell_angle_gamma 90.00
loop_
_atom_site_label
_atom_site_fract_x
_atom_site_fract_y
_atom_site_fract_z
Ho1 0.0000 0.0000 0.0000
Hg1 0.2500 0.2500 0.2500
Pd1 0.0000 0.0000 0.5000
```


The ΔE_f results, record by record, are as follows: -0.66 -0.64 -0.35 -0.68 -0.70 -0.28 -0.35 -0.69 -0.59 -0.45 eV/atom.
The E_tot results, record by record, are as follows: -0.3175 -0.2731 -0.2537 -0.2964 -0.3203 -0.3122 -0.3129 -0.2978 -0.2904 -0.2237 Ry/atom.
The DOS at the Fermi energy results, record by record, are as follows: 10.796 37.505 9.514 3.287 2.686 23.231 22.284 2.145 2.232 15.504 states/eV/cell.